Record 1
A geometry-optimized La12GaHg6 structure, computed with GGA-PBE.

density of states at the Fermi level	1.1793	states/eV/atom

Cell: 8.3828 8.3828 8.3828 Å, 90.49 90.49 90.49°
Sites, in units of the cell vectors:
La1 0.8111 0.5372 0.4516
La2 0.4516 0.8111 0.5372
La3 0.5372 0.4516 0.8111
La4 0.1889 0.4628 0.5484
La5 0.5484 0.1889 0.4628
La6 0.4628 0.5484 0.1889
La7 0.0137 0.1307 0.3641
La8 0.8693 0.6359 0.9863
La9 0.6359 0.9863 0.8693
La10 0.9863 0.8693 0.6359
La11 0.1307 0.3641 0.0137
La12 0.3641 0.0137 0.1307
Ga1 0.0000 0.0000 0.0000
Hg1 0.7248 0.8797 0.2615
Hg2 0.7385 0.2752 0.1203
Hg3 0.1203 0.7385 0.2752
Hg4 0.2752 0.1203 0.7385
Hg5 0.2615 0.7248 0.8797
Hg6 0.8797 0.2615 0.7248

***

Record 2
A geometry-optimized La6GaHg5 structure, computed with GGA-PBE.

density of states at the Fermi level	1.1716	states/eV/atom

Cell: 5.4955 7.7956 9.5241 Å, 114.16 106.65 90.00°
Site moments in Bohr magnetons follow the coordinates.
Sites, in units of the cell vectors:
Hg1 0.6733 0.1734 0.3469  0.01
Hg2 0.3330 0.3334 0.6669  0.01
Hg3 0.0000 0.5000 0.0000  0.01
Hg4 0.6670 0.6666 0.3331  0.01
Hg5 0.3267 0.8266 0.6531  0.01
Ga1 0.0000 0.0000 0.0000  0.00
La1 0.8378 0.5941 0.6759  0.13
La2 0.8378 0.0818 0.6759  0.13
La3 0.4999 0.7617 0.0000  0.15
La4 0.5001 0.2383 0.0000  0.15
La5 0.1622 0.9182 0.3241  0.13
La6 0.1622 0.4059 0.3241  0.13

***

Record 3
A geometry-optimized LaGaHg structure, computed with GGA-PBE.

density of states at the Fermi level	1.1808	states/eV/atom

Cell: 4.4238 8.7945 4.4234 Å, 74.88 90.00 105.12°
Sites, in units of the cell vectors:
Hg1 0.4121 0.0368 0.8964
Hg2 0.2200 0.6889 0.0886
Ga1 0.4432 0.2103 0.3073
Ga2 0.6309 0.5154 0.1196
La1 0.0524 0.3629 0.7289
La2 0.8101 0.8629 0.4865

***

Record 4
A geometry-optimized La4Ga2Hg structure, computed with GGA-PBE.

density of states at the Fermi level	1.0824	states/eV/atom

Cell: 5.3478 5.3478 9.1017 Å, 72.92 72.92 60.00°
Sites, in units of the cell vectors:
Hg1 0.0000 0.0000 0.0000
Ga1 0.7475 0.7475 0.7576
Ga2 0.2525 0.2525 0.2424
La1 0.8695 0.8695 0.3915
La2 0.1305 0.1305 0.6085
La3 0.6173 0.6173 0.1481
La4 0.3827 0.3827 0.8519

***

Quick rundown of energy of formation from the pure elements, same order as above: -0.268, -0.510, -0.496, -0.430 eV per atom